# FeRh2

An optimized crystal structure of FeRh2 (GGA-PBE, the Alexandria database).

Results
electronic total energy = -7.7322 eV/atom
magnetization = 2.5 Bohr magnetons per cell
ΔE_f = -0.01 eV per atom

a = 5.826 Å, b = 5.826 Å, c = 5.826 Å
α = 153.13°, β = 153.13°, γ = 38.36°
Each line ends with the local moment (μB).
Element x y z (fractional)
1 Rh 0.661 0.661 0.000  -0.02
2 Rh 0.339 0.339 0.000  -0.02
3 Fe 0.000 0.000 0.000  2.58